A relaxed structure of TmThMgPb. Source: the Alexandria database, functional GGA-PBE.

Output
Its total magnetization is 0.00 μB/f.u. Its formation energy is -109 meV per atom.

Cell lengths 7.675, 7.675, 7.675 Å; angles 90.00, 90.00, 90.00 degrees
Positions (direct):
Tm 0.000 0.000 0.000
Tm 0.000 0.500 0.500
Tm 0.500 0.000 0.500
Tm 0.500 0.500 0.000
Th 0.000 0.000 0.500
Th 0.000 0.500 0.000
Th 0.500 0.000 0.000
Th 0.500 0.500 0.500
Mg 0.250 0.250 0.250
Mg 0.250 0.750 0.750
Mg 0.750 0.250 0.750
Mg 0.750 0.750 0.250
Pb 0.250 0.250 0.750
Pb 0.250 0.750 0.250
Pb 0.750 0.250 0.250
Pb 0.750 0.750 0.750



A relaxed structure of Tm2ThMgPb2. Source: the Alexandria database, functional GGA-PBE.

Output
Its total magnetization is 0.00 μB/f.u. Its formation energy is -279 meV per atom.

Cell lengths 4.515, 9.587, 7.897 Å; angles 90.00, 90.00, 90.00 degrees
Positions (direct):
Tm 0.000 0.082 0.000
Tm 0.000 0.918 0.500
Tm 0.500 0.187 0.330
Tm 0.500 0.813 0.830
Th 0.500 0.418 0.923
Th 0.500 0.582 0.423
Mg 0.000 0.307 0.613
Mg 0.000 0.693 0.113
Pb 0.000 0.385 0.222
Pb 0.000 0.615 0.722
Pb 0.500 0.114 0.711
Pb 0.500 0.886 0.211



A relaxed structure of YThMgPb. Source: the Alexandria database, functional GGA-PBE.

Output
Its total magnetization is 0.00 μB/f.u. Its formation energy is -144 meV per atom.

Cell lengths 7.720, 7.720, 7.720 Å; angles 90.00, 90.00, 90.00 degrees
Positions (direct):
Y 0.000 0.000 0.000
Y 0.000 0.500 0.500
Y 0.500 0.000 0.500
Y 0.500 0.500 0.000
Th 0.000 0.000 0.500
Th 0.000 0.500 0.000
Th 0.500 0.000 0.000
Th 0.500 0.500 0.500
Mg 0.250 0.250 0.250
Mg 0.250 0.750 0.750
Mg 0.750 0.250 0.750
Mg 0.750 0.750 0.250
Pb 0.250 0.250 0.750
Pb 0.250 0.750 0.250
Pb 0.750 0.250 0.250
Pb 0.750 0.750 0.750



A relaxed structure of ThMgZnPb. Source: the Alexandria database, functional GGA-PBE.

Output
Its total magnetization is 0.00 μB/f.u. Its formation energy is -86 meV per atom.

Cell lengths 7.392, 7.392, 7.392 Å; angles 90.00, 90.00, 90.00 degrees
Positions (direct):
Th 0.000 0.000 0.000
Th 0.000 0.500 0.500
Th 0.500 0.000 0.500
Th 0.500 0.500 0.000
Mg 0.000 0.000 0.500
Mg 0.000 0.500 0.000
Mg 0.500 0.000 0.000
Mg 0.500 0.500 0.500
Zn 0.250 0.250 0.750
Zn 0.250 0.750 0.250
Zn 0.750 0.250 0.250
Zn 0.750 0.750 0.750
Pb 0.250 0.250 0.250
Pb 0.250 0.750 0.750
Pb 0.750 0.250 0.750
Pb 0.750 0.750 0.250



| no. | V (Å³/atom) |
| --- | --- |
| 1 | 28.26 |
| 2 | 28.49 |
| 3 | 28.76 |
| 4 | 25.24 |